one) {"formula": "Zr2ScIr", "functional": "PBE-GGA", "state": "optimized geometry", "lattice_angstrom": [[0.0000, 3.3851, 3.3851], [3.3851, 0.0000, 3.3851], [3.3851, 3.3851, 0.0000]], "species": ["Zr", "Zr", "Sc", "Ir"], "frac_coords": [[0.2500, 0.2500, 0.2500], [0.7500, 0.7500, 0.7500], [0.0000, 0.0000, 0.0000], [0.5000, 0.5000, 0.5000]], "sg": "Fm-3m", "n_ef_per_ev_atom": 1.55}


two) {"formula": "Zr2ScIr", "functional": "PBE-GGA", "state": "optimized geometry", "lattice_angstrom": [[3.3424, 0.0000, 0.0000], [0.0000, 4.7685, 0.0000], [0.0000, 0.0000, 4.9034]], "species": ["Zr", "Zr", "Sc", "Ir"], "frac_coords": [[0.0000, 0.0000, 0.0000], [0.5000, 0.5000, 0.0000], [0.0000, 0.5000, 0.5000], [0.5000, 0.0000, 0.5000]], "sg": "Pmmm", "n_ef_per_ev_atom": 1.29}


one) ends up most stable, edging out the next structure by 0.6 kJ/mol of atoms.